The following is a DFT calculation (PBE) of a relaxed BaLi2Fe crystal.

abc: 5.848 5.848 5.393
angles: 71.91 71.91 34.92
Fractional positions:
1 Ba 0.750 0.750 0.750
2 Fe 0.250 0.250 0.250
3 Li 0.957 0.957 0.078
4 Li 0.543 0.543 0.422

Computed properties:
The calculation puts the energy above the most stable polymorph in this dataset at 27 meV per atom. The value obtained for the energy of formation from the pure elements is 476 meV per atom. The calculation puts the mass density at 3.4 Mg/m³. For the calculated volume, the calculation gives 24.96 A^3/atom.